A relaxed ThNi crystal. Source: OQMD via LeMat-Bulk, functional GGA-PBE.

Output
Formation enthalpy at 0 K, meV/atom: -125

Unit cell a=3.527 b=3.527 c=3.959 alpha=90.00 beta=90.00 gamma=120.00
Atoms (fractional coordinates):
Th (0.333, 0.667, 0.250)
Ni (0.667, 0.333, 0.750)

A relaxed HoAlPtAu crystal. Source: OQMD via LeMat-Bulk, functional GGA-PBE.

Output
Excess energy over the best structure of this formula in the dataset, eV per atom: 0.006

Unit cell a=4.426 b=4.426 c=9.154 alpha=90.00 beta=90.00 gamma=120.00
Atoms (fractional coordinates):
Al (0.000, 0.000, 0.274)
Al (0.000, 0.000, 0.726)
Ho (0.667, 0.333, 0.500)
Ho (0.333, 0.667, 0.000)
Pt (0.333, 0.667, 0.671)
Pt (0.333, 0.667, 0.329)
Au (0.667, 0.333, 0.164)
Au (0.667, 0.333, 0.836)

A relaxed InReSn crystal. Source: OQMD via LeMat-Bulk, functional GGA-PBE.

Output
Excess energy over the best structure of this formula in the dataset, eV per atom: 0.000

Unit cell a=4.561 b=4.561 c=4.561 alpha=60.00 beta=60.00 gamma=60.00
Atoms (fractional coordinates):
In (0.250, 0.250, 0.250)
Re (0.000, 0.000, 0.000)
Sn (0.750, 0.750, 0.750)

A relaxed Nb2Se crystal. Source: OQMD via LeMat-Bulk, functional GGA-PBE.

Output
Final energy, eV/atom: -7.66

Unit cell a=4.334 b=4.334 c=4.334 alpha=60.00 beta=60.00 gamma=60.00
Atoms (fractional coordinates):
Se (0.000, 0.000, 0.000)
Nb (0.250, 0.250, 0.250)
Nb (0.750, 0.750, 0.750)

A relaxed Tm2Lu2O5 crystal. Source: OQMD via LeMat-Bulk, functional GGA-PBE.

Output
Excess energy over the best structure of this formula in the dataset, eV per atom: 0.000

Unit cell a=9.164 b=3.815 c=3.815 alpha=90.00 beta=90.00 gamma=90.00
Atoms (fractional coordinates):
O (0.147, 0.500, 0.000)
O (0.853, 0.500, 0.000)
O (0.500, 0.500, 0.500)
O (0.147, 0.000, 0.500)
O (0.853, 0.000, 0.500)
Tm (0.000, 0.000, 0.000)
Tm (0.500, 0.000, 0.000)
Lu (0.242, 0.500, 0.500)
Lu (0.758, 0.500, 0.500)

A relaxed KCuSiTe2S crystal. Source: OQMD via LeMat-Bulk, functional GGA-PBE.

Output
Final energy, eV/atom: -3.71

Unit cell a=7.887 b=7.887 c=10.580 alpha=90.00 beta=90.00 gamma=152.44
Atoms (fractional coordinates):
Cu (0.539, 0.461, 0.250)
Cu (0.461, 0.539, 0.750)
S (0.045, 0.955, 0.750)
S (0.955, 0.045, 0.250)
Te (0.626, 0.374, 0.461)
Te (0.626, 0.374, 0.039)
Te (0.374, 0.626, 0.961)
Te (0.374, 0.626, 0.539)
Si (0.000, 0.000, 0.500)
Si (0.000, 0.000, 0.000)
K (0.726, 0.274, 0.750)
K (0.274, 0.726, 0.250)

A relaxed InNi4C2S crystal. Source: OQMD via LeMat-Bulk, functional GGA-PBE.

Output
Final energy, eV/atom: -5.58

Unit cell a=3.110 b=3.110 c=11.315 alpha=90.00 beta=90.00 gamma=120.00
Atoms (fractional coordinates):
Ni (0.333, 0.667, 0.192)
Ni (0.667, 0.333, 0.649)
Ni (0.333, 0.667, 0.808)
Ni (0.667, 0.333, 0.351)
S (0.333, 0.667, 0.500)
C (0.000, 0.000, 0.266)
C (0.000, 0.000, 0.734)
In (0.667, 0.333, 0.000)

A relaxed AlCoReAu crystal. Source: OQMD via LeMat-Bulk, functional GGA-PBE.

Output
Excess energy over the best structure of this formula in the dataset, eV per atom: 0.000

Unit cell a=4.341 b=4.341 c=4.341 alpha=60.00 beta=60.00 gamma=60.00
Atoms (fractional coordinates):
Au (0.500, 0.500, 0.500)
Re (0.250, 0.250, 0.250)
Al (0.000, 0.000, 0.000)
Co (0.750, 0.750, 0.750)

A relaxed KNb4HSe5 crystal. Source: OQMD via LeMat-Bulk, functional GGA-PBE.

Output
Final energy, eV/atom: -6.14

Unit cell a=5.103 b=5.103 c=8.569 alpha=90.00 beta=90.00 gamma=90.00
Atoms (fractional coordinates):
Se (0.500, 0.000, 0.297)
Se (0.000, 0.500, 0.297)
Se (0.000, 0.000, 0.000)
Se (0.000, 0.500, 0.703)
Se (0.500, 0.000, 0.703)
Nb (0.500, 0.500, 0.227)
Nb (0.000, 0.500, 0.000)
Nb (0.500, 0.500, 0.773)
Nb (0.500, 0.000, 0.000)
H (0.500, 0.500, 0.500)
K (0.000, 0.000, 0.500)

A relaxed TbTmFe2B2N2 crystal. Source: OQMD via LeMat-Bulk, functional GGA-PBE.

Output
Final energy, eV/atom: -8.01

Unit cell a=3.432 b=3.432 c=7.690 alpha=90.00 beta=90.00 gamma=90.00
Atoms (fractional coordinates):
Fe (0.500, 0.000, 0.499)
Fe (0.000, 0.500, 0.499)
B (0.000, 0.000, 0.335)
B (0.500, 0.500, 0.666)
N (0.000, 0.000, 0.141)
N (0.500, 0.500, 0.861)
Tm (0.500, 0.500, 0.164)
Tb (0.000, 0.000, 0.834)

A relaxed ZnSnSbAs crystal. Source: OQMD via LeMat-Bulk, functional GGA-PBE.

Output
Excess energy over the best structure of this formula in the dataset, eV per atom: 0.000

Unit cell a=6.161 b=6.161 c=7.533 alpha=114.04 beta=114.04 gamma=90.01
Atoms (fractional coordinates):
Sn (0.727, 0.499, 0.000)
Sn (0.499, 0.727, 0.500)
As (0.625, 0.349, 0.250)
As (0.349, 0.625, 0.750)
Zn (0.276, 0.999, 0.000)
Zn (0.999, 0.276, 0.500)
Sb (0.901, 0.125, 0.750)
Sb (0.125, 0.901, 0.250)

A relaxed Cd2GeP4W crystal. Source: OQMD via LeMat-Bulk, functional GGA-PBE.

Output
Final energy, eV/atom: -5.07

Unit cell a=6.899 b=6.899 c=6.899 alpha=130.09 beta=130.09 gamma=73.26
Atoms (fractional coordinates):
P (0.617, 0.085, 0.958)
P (0.127, 0.659, 0.042)
P (0.341, 0.383, 0.468)
P (0.915, 0.873, 0.532)
Ge (0.000, 0.000, 0.000)
Cd (0.500, 0.500, 0.000)
Cd (0.750, 0.250, 0.500)
W (0.250, 0.750, 0.500)

A relaxed Tb2Al2CuPd3 crystal. Source: OQMD via LeMat-Bulk, functional GGA-PBE.

Output
Final energy, eV/atom: -5.30

Unit cell a=4.383 b=4.383 c=9.083 alpha=90.00 beta=90.00 gamma=120.00
Atoms (fractional coordinates):
Pd (0.333, 0.667, 0.070)
Pd (0.333, 0.667, 0.421)
Pd (0.000, 0.000, 0.583)
Al (0.667, 0.333, 0.501)
Al (0.667, 0.333, 0.002)
Tb (0.333, 0.667, 0.750)
Tb (0.000, 0.000, 0.248)
Cu (0.000, 0.000, 0.925)

A relaxed Zr2CdAu crystal. Source: OQMD via LeMat-Bulk, functional GGA-PBE.

Output
Formation enthalpy at 0 K, meV/atom: -289

Unit cell a=3.209 b=3.209 c=8.281 alpha=90.00 beta=90.00 gamma=90.00
Atoms (fractional coordinates):
Cd (0.000, 0.000, 0.394)
Zr (0.500, 0.500, 0.123)
Zr (0.000, 0.000, 0.856)
Au (0.500, 0.500, 0.627)

A relaxed InCoTcAg crystal. Source: OQMD via LeMat-Bulk, functional GGA-PBE.

Output
Excess energy over the best structure of this formula in the dataset, eV per atom: 0.000

Unit cell a=4.491 b=4.491 c=4.491 alpha=60.00 beta=60.00 gamma=60.00
Atoms (fractional coordinates):
Ag (0.250, 0.250, 0.250)
Co (0.750, 0.750, 0.750)
In (0.000, 0.000, 0.000)
Tc (0.500, 0.500, 0.500)

A relaxed BaHgB4 crystal. Source: OQMD via LeMat-Bulk, functional GGA-PBE.

Output
Excess energy over the best structure of this formula in the dataset, eV per atom: 0.000

Unit cell a=5.960 b=5.960 c=5.960 alpha=149.24 beta=102.28 gamma=85.87
Atoms (fractional coordinates):
B (0.511, 0.763, 0.748)
B (0.489, 0.237, 0.252)
B (0.014, 0.763, 0.252)
B (0.986, 0.237, 0.748)
Hg (0.000, 0.000, 0.000)
Ba (0.500, 0.500, 0.000)

A relaxed AcMgNb crystal. Source: OQMD via LeMat-Bulk, functional GGA-PBE.

Output
Excess energy over the best structure of this formula in the dataset, eV per atom: 0.000

Unit cell a=5.100 b=5.100 c=5.100 alpha=60.00 beta=60.00 gamma=60.00
Atoms (fractional coordinates):
Nb (0.250, 0.250, 0.250)
Mg (0.000, 0.000, 0.000)
Ac (0.500, 0.500, 0.500)

A relaxed K5HgN3 crystal. Source: OQMD via LeMat-Bulk, functional GGA-PBE.

Output
Final energy, eV/atom: -2.48

Unit cell a=7.991 b=7.991 c=3.662 alpha=90.00 beta=90.00 gamma=120.00
Atoms (fractional coordinates):
N (0.295, 0.295, 0.000)
N (0.000, 0.705, 0.000)
N (0.705, 0.000, 0.000)
K (0.295, 0.000, 0.500)
K (0.333, 0.667, 0.500)
K (0.667, 0.333, 0.500)
K (0.000, 0.295, 0.500)
K (0.705, 0.705, 0.500)
Hg (0.000, 0.000, 0.000)

A relaxed BaNaTcOs crystal. Source: OQMD via LeMat-Bulk, functional GGA-PBE.

Output
Excess energy over the best structure of this formula in the dataset, eV per atom: 0.000

Unit cell a=4.875 b=4.875 c=4.875 alpha=60.00 beta=60.00 gamma=60.00
Atoms (fractional coordinates):
Os (0.000, 0.000, 0.000)
Tc (0.250, 0.250, 0.250)
Na (0.750, 0.750, 0.750)
Ba (0.500, 0.500, 0.500)

A relaxed Te3W2Se crystal. Source: OQMD via LeMat-Bulk, functional GGA-PBE.

Output
Final energy, eV/atom: -6.68

Unit cell a=6.299 b=3.440 c=7.351 alpha=90.00 beta=91.08 gamma=90.00
Atoms (fractional coordinates):
Te (0.336, 0.500, 0.281)
Te (0.675, 0.500, 0.789)
Te (0.825, 0.000, 0.198)
Se (0.163, 0.000, 0.741)
W (0.073, 0.500, 0.981)
W (0.429, 0.000, 0.009)